A plane-wave DFT calculation with PBE+U was carried out for a relaxed Be2CoO2 crystal.

Structure (POSCAR):
```
Be2CoO2
1.0
6.0774 0.0000 0.0000
0.0000 6.0774 0.0000
0.0000 0.0000 2.9032
Be Co O
4 2 4
direct
0.2882 0.7882 0.5000
0.7882 0.7118 0.5000
0.7118 0.2118 0.5000
0.2118 0.2882 0.5000
0.0000 0.0000 0.0000
0.5000 0.5000 0.0000
0.3168 0.8168 0.0000
0.8168 0.6832 0.0000
0.6832 0.1832 0.0000
0.1832 0.3168 0.0000
```

## Properties
Symmetry: P4/mbm (127)
Total energy: -5.702 eV/atom
N(E_F): 0.5 states/eV/f.u.